Density functional theory data (GGA-PBE) for crystalline TaNiBi2 at its relaxed geometry.

a = 7.553 Å, b = 7.553 Å, c = 6.288 Å
α = 90.00°, β = 90.00°, γ = 90.00°
Space group I-42d (No. 122)
Symmetry-distinct sites (fractional):
Ta 0.000 0.000 0.000 (multiplicity 4)
Ni 0.000 0.000 0.500 (multiplicity 4)
Bi 0.208 0.250 0.625 (multiplicity 8)

Computed properties:
Density of states at the Fermi level in states/eV/cell: 21.33
Volume in Å³/cell: 359
E_form in kJ per mole of atoms: 73
Calculated density in g/cm³: 12.2
Final energy in eV per atom: -5.593